VASP calculation (GGA+U) on a geometry-optimized BaCoSO structure.

## Properties
space group: P4/nmm
size of the total moment: 6.01 μB per cell
raw total energy: -45.477 eV per cell

a = 4.2173 Å, b = 4.2173 Å, c = 8.6160 Å
α = 90.00°, β = 90.00°, γ = 90.00°
Positions (direct):
Ba  0.7500  0.7500  0.2192
Ba  0.2500  0.2500  0.7808
Co  0.2500  0.2500  0.4188
Co  0.7500  0.7500  0.5813
O  0.7500  0.2500  0.5000
O  0.2500  0.7500  0.5000
S  0.2500  0.2500  0.1535
S  0.7500  0.7500  0.8465